Computed, not measured: a relaxed structure of NdNiRh3 at the PBE level of DFT.

Summary:
- total magnetic moment (μB per cell) = 0.00
- space group = Cmcm (63)
- energy of formation from the pure elements (kcal/mol of atoms) = 5.88

a b c (Å): 4.7190 6.9599 6.9599
angles (deg): 120.14 90.00 90.00
Atoms (fractional coordinates):
Nd: 0.2500 0.3971 0.6029
Rh: 0.0000 0.0000 0.0000
Nd: 0.7500 0.6029 0.3971
Rh: 0.2500 0.5975 0.0453
Ni: 0.2500 0.1779 0.8221
Rh: 0.7500 0.0453 0.5975
Rh: 0.7500 0.4025 0.9547
Rh: 0.2500 0.9547 0.4025
Ni: 0.7500 0.8221 0.1779
Rh: 0.5000 0.0000 0.0000